The following is a DFT calculation (PBE) of crystalline LaThS4 at its relaxed geometry.

Values from the calculation:
* symmetry: No. 65
* uncorrected formation energy: -1.80 eV per atom
* final energy: -6.612 eV per atom

```
LaThS4
1.0
3.127 -3.486 0.000
3.127 3.486 0.000
0.000 0.000 7.027
La Th S
1 1 4
Direct
0.000 0.000 0.000
0.500 0.500 0.500
0.000 0.500 0.259
0.000 0.500 0.741
0.500 0.000 0.259
0.500 0.000 0.741
```